# Eu2ZnIn | Alexandria | GGA-PBE | relaxed
# Formation energy, eV/f.u.: -1.4
# Electronic total energy, eV/atom: -6.497
data_Eu2ZnIn
_cell_length_a 5.4721
_cell_length_b 5.4721
_cell_length_c 13.4024
_cell_angle_alpha 90.00
_cell_angle_beta 90.00
_cell_angle_gamma 120.00
_symmetry_space_group_name_H-M 'R 3 m'
_symmetry_Int_Tables_number 160
_symmetry_space_group_name_Hall 'R 3 -2"'
loop_
_atom_site_label
_atom_site_type_symbol
_atom_site_fract_x
_atom_site_fract_y
_atom_site_fract_z
_atom_site_occupancy
Eu1 Eu 0.0000 0.0000 0.0000 1
Eu2 Eu 0.0000 0.0000 0.4999 1
Zn1 Zn 0.0000 0.0000 0.2496 1
In1 In 0.0000 0.0000 0.7500 1

***

# Na3Mn2Te4 | Alexandria | GGA-PBE | relaxed
# Electronic total energy, eV/atom: -4.405
# Raw formation energy, eV/f.u.: -4.78
data_Na3Mn2Te4
_cell_length_a 14.1590
_cell_length_b 11.0563
_cell_length_c 7.0758
_cell_angle_alpha 90.00
_cell_angle_beta 93.24
_cell_angle_gamma 90.00
_symmetry_space_group_name_H-M 'C 1 2/c 1'
_symmetry_Int_Tables_number 15
_symmetry_space_group_name_Hall '-C 2yc'
loop_
_atom_site_label
_atom_site_type_symbol
_atom_site_fract_x
_atom_site_fract_y
_atom_site_fract_z
_atom_site_occupancy
Na1 Na 0.0000 0.1071 0.2500 1
Na2 Na 0.1228 0.3719 0.9746 1
Mn1 Mn 0.2071 0.1266 0.5832 1
Te1 Te 0.1104 0.3313 0.4856 1
Te2 Te 0.1528 0.0862 0.9318 1

***

# Y8OsPd2 | Alexandria | GGA-PBE | relaxed
# Formation energy, eV/f.u.: -3.2
# ΔE to the lowest computed polymorph, meV per atom: 96.0
# Electronic total energy, eV/atom: -6.956
data_Y8OsPd2
_cell_length_a 8.3424
_cell_length_b 12.9475
_cell_length_c 6.0370
_cell_angle_alpha 90.00
_cell_angle_beta 110.55
_cell_angle_gamma 90.00
_symmetry_space_group_name_H-M 'C 1 m 1'
_symmetry_Int_Tables_number 8
_symmetry_space_group_name_Hall 'C -2y'
loop_
_atom_site_label
_atom_site_type_symbol
_atom_site_fract_x
_atom_site_fract_y
_atom_site_fract_z
_atom_site_occupancy
Y1 Y 0.0000 0.0000 0.0000 1
Y2 Y 0.0607 0.3751 0.7879 1
Y3 Y 0.1437 0.1253 0.5864 1
Y4 Y 0.2068 0.5000 0.3484 1
Y5 Y 0.3562 0.2072 0.1752 1
Os1 Os 0.3548 0.0000 0.0052 1
Pd1 Pd 0.3477 0.3095 0.6721 1

***

# NaBSeN2 | Alexandria | GGA-PBE | relaxed
# ΔE to the lowest computed polymorph, meV per atom: 0.0
# Electronic total energy, eV/atom: -4.373
# Raw formation energy, eV/f.u.: 6.27
data_NaBSeN2
_cell_length_a 3.4254
_cell_length_b 3.4254
_cell_length_c 5.3620
_cell_angle_alpha 90.00
_cell_angle_beta 90.00
_cell_angle_gamma 90.00
_symmetry_space_group_name_H-M 'P 4/m m m'
_symmetry_Int_Tables_number 123
_symmetry_space_group_name_Hall '-P 4 2'
loop_
_atom_site_label
_atom_site_type_symbol
_atom_site_fract_x
_atom_site_fract_y
_atom_site_fract_z
_atom_site_occupancy
Na1 Na 0.0000 0.0000 0.0000 1
B1 B 0.5000 0.5000 0.5000 1
Se1 Se 0.5000 0.5000 0.0000 1
N1 N 0.0000 0.5000 0.5000 1

***

# CrMoW2N | Alexandria | GGA-PBE | relaxed
# Electronic total energy, eV/atom: -10.936
# Raw formation energy, eV/f.u.: 0.01
data_CrMoW2N
_cell_length_a 4.1531
_cell_length_b 4.1531
_cell_length_c 3.8683
_cell_angle_alpha 90.00
_cell_angle_beta 90.00
_cell_angle_gamma 90.00
_symmetry_space_group_name_H-M 'P 4/m m m'
_symmetry_Int_Tables_number 123
_symmetry_space_group_name_Hall '-P 4 2'
loop_
_atom_site_label
_atom_site_type_symbol
_atom_site_fract_x
_atom_site_fract_y
_atom_site_fract_z
_atom_site_occupancy
Cr1 Cr 0.0000 0.0000 0.0000 1
Mo1 Mo 0.5000 0.5000 0.0000 1
W1 W 0.0000 0.5000 0.5000 1
N1 N 0.0000 0.0000 0.5000 1

***

# Pr2TmSn | Alexandria | GGA-PBE | relaxed
# Formation energy, eV/f.u.: -1.7
# ΔE to the lowest computed polymorph, meV per atom: 0.0
# Electronic total energy, eV/atom: -4.928
data_Pr2TmSn
_cell_length_a 4.8960
_cell_length_b 4.8960
_cell_length_c 4.9706
_cell_angle_alpha 90.00
_cell_angle_beta 90.00
_cell_angle_gamma 90.00
_symmetry_space_group_name_H-M 'P 4/m m m'
_symmetry_Int_Tables_number 123
_symmetry_space_group_name_Hall '-P 4 2'
loop_
_atom_site_label
_atom_site_type_symbol
_atom_site_fract_x
_atom_site_fract_y
_atom_site_fract_z
_atom_site_occupancy
Pr1 Pr 0.0000 0.5000 0.0000 1
Tm1 Tm 0.0000 0.0000 0.5000 1
Sn1 Sn 0.5000 0.5000 0.5000 1

***

# CuAsPt2 | Alexandria | GGA-PBE | relaxed
# Formation energy, eV/f.u.: -0.4
# Electronic total energy, eV/atom: -5.314
data_CuAsPt2
_cell_length_a 8.5240
_cell_length_b 2.9999
_cell_length_c 4.8581
_cell_angle_alpha 90.00
_cell_angle_beta 100.58
_cell_angle_gamma 90.00
_symmetry_space_group_name_H-M 'C 1 2/m 1'
_symmetry_Int_Tables_number 12
_symmetry_space_group_name_Hall '-C 2y'
loop_
_atom_site_label
_atom_site_type_symbol
_atom_site_fract_x
_atom_site_fract_y
_atom_site_fract_z
_atom_site_occupancy
Cu1 Cu 0.0000 0.0000 0.0000 1
As1 As 0.0000 0.5000 0.5000 1
Pt1 Pt 0.2482 0.5000 0.2478 1

***

# Dy6Mg5Zn | Alexandria | GGA-PBE | relaxed
# Formation energy, eV/f.u.: -1.3
# Electronic total energy, eV/atom: -3.184
data_Dy6Mg5Zn
_cell_length_a 5.2962
_cell_length_b 15.9153
_cell_length_c 7.4965
_cell_angle_alpha 90.00
_cell_angle_beta 90.00
_cell_angle_gamma 90.00
_symmetry_space_group_name_H-M 'C m m m'
_symmetry_Int_Tables_number 65
_symmetry_space_group_name_Hall '-C 2 2'
loop_
_atom_site_label
_atom_site_type_symbol
_atom_site_fract_x
_atom_site_fract_y
_atom_site_fract_z
_atom_site_occupancy
Dy1 Dy 0.0000 0.0000 0.2388 1
Dy2 Dy 0.0000 0.3388 0.2443 1
Mg1 Mg 0.0000 0.1686 0.5000 1
Mg2 Mg 0.0000 0.1725 0.0000 1
Mg3 Mg 0.0000 0.5000 0.5000 1
Zn1 Zn 0.0000 0.5000 0.0000 1

***

# BiI3Br | Alexandria | GGA-PBE | relaxed
# ΔE to the lowest computed polymorph, meV per atom: 0.0
# Electronic total energy, eV/atom: -2.414
# Raw formation energy, eV/f.u.: -1.86
data_BiI3Br
_cell_length_a 14.1620
_cell_length_b 8.9077
_cell_length_c 9.0479
_cell_angle_alpha 90.00
_cell_angle_beta 120.11
_cell_angle_gamma 90.00
_symmetry_space_group_name_H-M 'C 1 2/m 1'
_symmetry_Int_Tables_number 12
_symmetry_space_group_name_Hall '-C 2y'
loop_
_atom_site_label
_atom_site_type_symbol
_atom_site_fract_x
_atom_site_fract_y
_atom_site_fract_z
_atom_site_occupancy
Bi1 Bi 0.2276 0.0000 0.4800 1
I1 I 0.0235 0.5000 0.8724 1
I2 I 0.1936 0.2637 0.6851 1
Br1 Br 0.0228 0.0000 0.2340 1

***

# Cr2In2Re | Alexandria | GGA-PBE | relaxed
# Formation energy, eV/f.u.: 5.9
# ΔE to the lowest computed polymorph, meV per atom: 615.1
# Electronic total energy, eV/atom: -6.263
data_Cr2In2Re
_cell_length_a 4.1980
_cell_length_b 4.1980
_cell_length_c 10.2098
_cell_angle_alpha 90.00
_cell_angle_beta 90.00
_cell_angle_gamma 90.00
_symmetry_space_group_name_H-M 'I 4/m m m'
_symmetry_Int_Tables_number 139
_symmetry_space_group_name_Hall '-I 4 2'
loop_
_atom_site_label
_atom_site_type_symbol
_atom_site_fract_x
_atom_site_fract_y
_atom_site_fract_z
_atom_site_occupancy
Cr1 Cr 0.0000 0.0000 0.0863 1
In1 In 0.0000 0.5000 0.2500 1
Re1 Re 0.0000 0.0000 0.5000 1

***

# ZnFeSe | Alexandria | GGA-PBE | relaxed
# ΔE to the lowest computed polymorph, meV per atom: 29.3
# Electronic total energy, eV/atom: -4.327
# Raw formation energy, eV/f.u.: 0.24
data_ZnFeSe
_cell_length_a 4.0711
_cell_length_b 4.0713
_cell_length_c 6.1680
_cell_angle_alpha 90.00
_cell_angle_beta 109.15
_cell_angle_gamma 90.00
_symmetry_space_group_name_H-M 'C 1 m 1'
_symmetry_Int_Tables_number 8
_symmetry_space_group_name_Hall 'C -2y'
loop_
_atom_site_label
_atom_site_type_symbol
_atom_site_fract_x
_atom_site_fract_y
_atom_site_fract_z
_atom_site_occupancy
Zn1 Zn 0.0000 0.0000 0.0000 1
Fe1 Fe 0.3590 0.0000 0.7168 1
Se1 Se 0.2502 0.5000 0.4978 1

***

# Tb3Ni2Ge4 | Alexandria | GGA-PBE | relaxed
# Formation energy, eV/f.u.: -7.0
# ΔE to the lowest computed polymorph, meV per atom: 3.8
# Electronic total energy, eV/atom: -5.658
data_Tb3Ni2Ge4
_cell_length_a 10.7465
_cell_length_b 4.1534
_cell_length_c 8.1425
_cell_angle_alpha 90.00
_cell_angle_beta 101.94
_cell_angle_gamma 90.00
_symmetry_space_group_name_H-M 'C 1 2/m 1'
_symmetry_Int_Tables_number 12
_symmetry_space_group_name_Hall '-C 2y'
loop_
_atom_site_label
_atom_site_type_symbol
_atom_site_fract_x
_atom_site_fract_y
_atom_site_fract_z
_atom_site_occupancy
Tb1 Tb 0.0000 0.0000 0.0000 1
Tb2 Tb 0.1616 0.5000 0.6604 1
Ni1 Ni 0.1061 0.5000 0.2820 1
Ge1 Ge 0.0607 0.0000 0.3807 1
Ge2 Ge 0.2188 0.5000 0.0713 1